Entry 1:
Entry from Alexandria: an optimized crystal structure of Bi12Pb4O21 (PBE).

abc: 7.271 7.590 14.259
angles: 93.02 96.95 115.91
Space group P-1 (No. 2)
One atom of each set of equivalent atoms:
Bi  0.008  0.295  0.071 x2
Bi  0.014  0.244  0.543 x2
Bi  0.147  0.923  0.190 x2
Bi  0.241  0.487  0.325 x2
Bi  0.278  0.512  0.800 x2
Bi  0.436  0.232  0.976 x2
Pb  0.250  0.990  0.702 x2
Pb  0.479  0.210  0.445 x2
O  0.030  0.150  0.194 x2
O  0.045  0.681  0.624 x2
O  0.047  0.151  0.690 x2
O  0.066  0.559  0.204 x2
O  0.158  0.276  0.892 x2
O  0.202  0.980  0.033 x2
O  0.209  0.048  0.530 x2
O  0.279  0.741  0.420 x2
O  0.307  0.750  0.902 x2
O  0.423  0.426  0.089 x2
O  0.500  0.500  0.500 x1

**Calculated total energy**: -5.592 eV/atom
**Magnetization**: 0.0 μB per cell
**ΔE_f (raw)**: -1118.1 meV per atom
**DOS at the Fermi energy**: 6.59 states/eV/cell

***

Entry 2:
Entry from Alexandria: an optimized crystal structure of Bi2PbO6 (PBE).

abc: 5.144 5.144 10.578
angles: 90.00 90.00 90.00
Space group P4_2/mnm (No. 136)
One atom of each set of equivalent atoms:
Bi  0.000  0.000  0.167 x4
Pb  0.000  0.000  0.500 x2
O  0.191  0.191  0.334 x8
O  0.194  0.194  0.000 x4

**Calculated total energy**: -5.514 eV/atom
**Magnetization**: 0.0 μB per cell
**ΔE_f (raw)**: -934.5 meV per atom
**DOS at the Fermi energy**: 6.11 states/eV/cell

***

Entry 3:
Entry from Alexandria: an optimized crystal structure of Bi2Pb2O7 (PBE).

abc: 3.446 12.473 7.346
angles: 90.00 90.00 90.00
Space group Imm2 (No. 44)
One atom of each set of equivalent atoms:
Bi  0.000  0.000  0.000 x2
Bi  0.000  0.500  0.005 x2
Pb  0.000  0.267  0.714 x4
O  0.000  0.000  0.691 x2
O  0.000  0.122  0.287 x4
O  0.000  0.314  0.075 x4
O  0.000  0.370  0.462 x4

**Calculated total energy**: -5.416 eV/atom
**Magnetization**: 0.0 μB per cell
**Polymorph energy (0 for the lowest one)**: 90 meV/atom
**ΔE_f (raw)**: -881.1 meV per atom
**DOS at the Fermi energy**: 4.14 states/eV/cell

***

Entry 4:
Entry from Alexandria: an optimized crystal structure of BiPbO4 (PBE).

abc: 5.641 5.183 6.157
angles: 90.00 90.00 90.00
Space group Pnc2 (No. 30)
One atom of each set of equivalent atoms:
Bi  0.000  0.000  0.000 x2
Pb  0.500  0.000  0.350 x2
O  0.173  0.224  0.272 x4
O  0.326  0.731  0.575 x4

**Calculated total energy**: -5.478 eV/atom
**Magnetization**: 0.0 μB per cell
**ΔE_f (raw)**: -907.8 meV per atom
**DOS at the Fermi energy**: 3.08 states/eV/cell

***

Entry 5:
Entry from Alexandria: an optimized crystal structure of BiPb2O3 (PBE).

abc: 5.871 6.616 7.698
angles: 79.72 89.25 64.61
Space group P-1 (No. 2)
One atom of each set of equivalent atoms:
Bi  0.029  0.445  0.246 x2
Pb  0.332  0.835  0.430 x2
Pb  0.339  0.819  0.922 x2
O  0.075  0.844  0.672 x2
O  0.261  0.494  0.992 x2
O  0.421  0.162  0.329 x2

**Calculated total energy**: -5.304 eV/atom
**Magnetization**: 0.0 μB per cell
**ΔE_f (raw)**: -941.9 meV per atom
**DOS at the Fermi energy**: 3.72 states/eV/cell

***

Entry 6:
Entry from Alexandria: an optimized crystal structure of BiPb2O6 (PBE).

abc: 5.178 5.898 9.574
angles: 90.00 90.00 90.00
Space group Pnnm (No. 58)
One atom of each set of equivalent atoms:
Bi  0.000  0.000  0.000 x2
Pb  0.000  0.500  0.189 x4
O  0.189  0.326  0.000 x4
O  0.226  0.834  0.166 x8

**Calculated total energy**: -5.398 eV/atom
**Magnetization**: 0.0 μB per cell
**Polymorph energy (0 for the lowest one)**: 0 meV/atom
**ΔE_f (raw)**: -837.3 meV per atom
**DOS at the Fermi energy**: 3.66 states/eV/cell